AcCoBr: optimized geometry, PBE-GGA.

Calculated values
The space-group type is Cm, No. 8. The raw total energy comes out at -31.312 eV/cell. The excess energy over the best structure of this formula in the dataset is 0.091 kcal/mol of atoms. As for the formation energy without anion corrections: -0.9229 eV per atom.

abc: 4.2274 4.2274 12.2503
angles: 99.50 99.50 59.37
Atoms (fractional coordinates):
Ac 0.0000 0.0000 0.0000
Ac 0.1074 0.1074 0.3386
Co 0.3761 0.3761 0.1693
Co 0.7301 0.7301 0.1693
Br 0.6113 0.6113 0.8259
Br 0.8288 0.8288 0.5127